No. 1
LiCaZrAu2 at its PBEsol-relaxed geometry. Source: Alexandria via LeMat-Bulk, functional SCAN.

## Properties
**Theoretical density**: 6.0 g/cm3
**Total energy**: -179.2 eV per formula unit
**Energy of formation from the pure elements**: 380 meV per atom
**Spin magnetization**: 0.00 Bohr magnetons per cell

abc: 5.143 5.143 5.583
angles: 90.00 90.00 90.00
Space group P4/mmm (No. 123)
Unique sites:
Li  0.000  0.000  0.000 (multiplicity 1)
Ca  0.500  0.500  0.000 (multiplicity 1)
Zr  0.500  0.500  0.500 (multiplicity 1)
Au  0.000  0.500  0.500 (multiplicity 2)



No. 2
MnReRh2 at its PBEsol-relaxed geometry. Source: Alexandria via LeMat-Bulk, functional SCAN.

## Properties
**Theoretical density**: 14.2 g/cm3
**Total energy**: -157.0 eV per formula unit
**Relative energy among the computed polymorphs**: 213 meV per atom
**Energy of formation from the pure elements**: -31 meV per atom
**Spin magnetization**: 8.19 Bohr magnetons per cell

abc: 2.6557 2.6557 25.7206
angles: 90.00 90.00 120.00
Space group R3m (No. 160, hexagonal axes)
Unique sites:
Mn  0.0000  0.0000  0.0000 (multiplicity 3)
Re  0.0000  0.0000  0.7473 (multiplicity 3)
Rh  0.0000  0.0000  0.2550 (multiplicity 3)
Rh  0.0000  0.0000  0.5001 (multiplicity 3)



No. 3
CoTcPt2 at its PBEsol-relaxed geometry. Source: Alexandria via LeMat-Bulk, functional SCAN.

## Properties
**Theoretical density**: 16.9 g/cm3
**Total energy**: -193.3 eV per formula unit
**Relative energy among the computed polymorphs**: 47 meV per atom
**Energy of formation from the pure elements**: -134 meV per atom
**Spin magnetization**: 4.39 Bohr magnetons per cell

abc: 3.761 3.761 7.619
angles: 90.00 90.00 90.00
Space group I-4m2 (No. 119)
Unique sites:
Co  0.000  0.000  0.000 (multiplicity 2)
Tc  0.000  0.500  0.750 (multiplicity 2)
Pt  0.000  0.000  0.500 (multiplicity 2)
Pt  0.000  0.500  0.250 (multiplicity 2)



No. 4
Zr5Pb4 at its PBEsol-relaxed geometry. Source: Alexandria via LeMat-Bulk, functional SCAN.

## Properties
**Theoretical density**: 10.5 g/cm3
**Total energy**: -461.1 eV per formula unit
**Energy of formation from the pure elements**: -501 meV per atom
**Spin magnetization**: 0.00 Bohr magnetons per cell

abc: 8.8442 8.8442 5.9920
angles: 90.00 90.00 120.00
Space group P6_3/mcm (No. 193)
Unique sites:
Zr  0.0000  0.2830  0.2500 (multiplicity 6)
Zr  0.3333  0.6667  0.0000 (multiplicity 4)
Pb  0.0000  0.0000  0.0000 (multiplicity 2)
Pb  0.0000  0.3839  0.7500 (multiplicity 6)



No. 5
TlTcSeN2 at its PBEsol-relaxed geometry. Source: Alexandria via LeMat-Bulk, functional SCAN.

## Properties
**Theoretical density**: 8.5 g/cm3
**Total energy**: -143.9 eV per formula unit
**Spin magnetization**: 0.00 Bohr magnetons per cell

abc: 3.879 3.879 5.290
angles: 90.00 90.00 90.00
Space group P4/mmm (No. 123)
Unique sites:
Tl  0.000  0.000  0.000 (multiplicity 1)
Tc  0.500  0.500  0.500 (multiplicity 1)
Se  0.500  0.500  0.000 (multiplicity 1)
N  0.000  0.500  0.500 (multiplicity 2)



No. 6
RbPIr2S at its PBEsol-relaxed geometry. Source: Alexandria via LeMat-Bulk, functional SCAN.

## Properties
**Theoretical density**: 8.7 g/cm3
**Total energy**: -180.5 eV per formula unit
**Spin magnetization**: 0.00 Bohr magnetons per cell

abc: 4.410 4.410 5.246
angles: 90.00 90.00 90.00
Space group P4/mmm (No. 123)
Unique sites:
Rb  0.000  0.000  0.000 (multiplicity 1)
P  0.500  0.500  0.500 (multiplicity 1)
Ir  0.000  0.500  0.500 (multiplicity 2)
S  0.500  0.500  0.000 (multiplicity 1)



No. 7
InFePb2 at its PBEsol-relaxed geometry. Source: Alexandria via LeMat-Bulk, functional SCAN.

## Properties
**Theoretical density**: 10.3 g/cm3
**Total energy**: -201.1 eV per formula unit
**Relative energy among the computed polymorphs**: 257 meV per atom
**Energy of formation from the pure elements**: 503 meV per atom
**Spin magnetization**: 11.31 Bohr magnetons per cell

abc: 7.227 7.227 7.227
angles: 90.00 90.00 90.00
Space group Fm-3m (No. 225)
Unique sites:
In  0.000  0.000  0.000 (multiplicity 4)
Fe  0.000  0.000  0.500 (multiplicity 4)
Pb  0.250  0.250  0.250 (multiplicity 8)



No. 8
LaIn2W at its PBEsol-relaxed geometry. Source: Alexandria via LeMat-Bulk, functional SCAN.

## Properties
**Theoretical density**: 9.6 g/cm3
**Total energy**: -177.9 eV per formula unit
**Relative energy among the computed polymorphs**: 63 meV per atom
**Energy of formation from the pure elements**: 407 meV per atom
**Spin magnetization**: 0.00 Bohr magnetons per cell

abc: 3.549 3.549 7.555
angles: 90.00 90.00 90.00
Space group P4mm (No. 99)
Unique sites:
La  0.000  0.000  0.000 (multiplicity 1)
In  0.000  0.000  0.428 (multiplicity 1)
In  0.500  0.500  0.669 (multiplicity 1)
W  0.500  0.500  0.263 (multiplicity 1)



No. 9
Ba2AlTe at its PBEsol-relaxed geometry. Source: Alexandria via LeMat-Bulk, functional SCAN.

## Properties
**Theoretical density**: 5.1 g/cm3
**Total energy**: -127.3 eV per formula unit
**Relative energy among the computed polymorphs**: 0 meV per atom
**Spin magnetization**: 0.00 Bohr magnetons per cell

abc: 7.501 9.067 4.091
angles: 90.00 90.00 90.00
Space group Cmmm (No. 65)
Unique sites:
Ba  0.250  0.250  0.000 (multiplicity 4)
Al  0.000  0.000  0.500 (multiplicity 2)
Te  0.000  0.500  0.500 (multiplicity 2)



No. 10
Ba2CaZr at its PBEsol-relaxed geometry. Source: Alexandria via LeMat-Bulk, functional SCAN.

## Properties
**Theoretical density**: 4.4 g/cm3
**Total energy**: -117.0 eV per formula unit
**Energy of formation from the pure elements**: 609 meV per atom
**Spin magnetization**: 0.00 Bohr magnetons per cell

abc: 8.492 8.492 8.492
angles: 90.00 90.00 90.00
Space group Fm-3m (No. 225)
Unique sites:
Ba  0.250  0.250  0.250 (multiplicity 8)
Ca  0.000  0.000  0.000 (multiplicity 4)
Zr  0.000  0.000  0.500 (multiplicity 4)



No. 11
ZrZnP3 at its PBEsol-relaxed geometry. Source: Alexandria via LeMat-Bulk, functional SCAN.

## Properties
**Theoretical density**: 3.4 g/cm3
**Total energy**: -72.6 eV per formula unit
**Energy of formation from the pure elements**: 558 meV per atom
**Spin magnetization**: 0.00 Bohr magnetons per cell

abc: 4.938 4.938 4.938
angles: 90.00 90.00 90.00
Space group Pm-3m (No. 221)
Unique sites:
Zr  0.000  0.000  0.000 (multiplicity 1)
Zn  0.500  0.500  0.500 (multiplicity 1)
P  0.000  0.000  0.500 (multiplicity 3)



No. 12
CoReGe3 at its PBEsol-relaxed geometry. Source: Alexandria via LeMat-Bulk, functional SCAN.

## Properties
**Theoretical density**: 9.1 g/cm3
**Total energy**: -140.1 eV per formula unit
**Energy of formation from the pure elements**: 1116 meV per atom
**Spin magnetization**: 2.32 Bohr magnetons per cell

abc: 4.391 4.391 4.391
angles: 90.00 90.00 90.00
Space group Pm-3m (No. 221)
Unique sites:
Co  0.000  0.000  0.000 (multiplicity 1)
Re  0.500  0.500  0.500 (multiplicity 1)
Ge  0.000  0.000  0.500 (multiplicity 3)